Record 1
A relaxed CeTi2Mo crystal, computed with GGA-PBE.

Formation energy from the elements: 0.14 eV per formula unit
N(E_F): 7.8 states/eV/f.u.
Space group: P4/mmm, No. 123

Unit cell a=3.2041 b=3.2041 c=7.6039 alpha=90.00 beta=90.00 gamma=90.00
Last column: nearest neighbours and their distance in Å.
Element x y z (fractional)
Mo1 0.5000 0.5000 0.0000  8 Ti 2.70
Ce1 0.5000 0.5000 0.5000  4 Ce 3.20, 8 Ti 3.26
Ti1 0.0000 0.0000 0.8079  4 Mo 2.70, 1 Ti 2.92
Ti2 0.0000 0.0000 0.1921  4 Mo 2.70, 1 Ti 2.92

Record 2
A relaxed Ce6Tl2Mo crystal, computed with GGA-PBE.

Formation energy from the elements: -0.04 eV per formula unit
N(E_F): 19.0 states/eV/f.u.
Space group: C2/m, No. 12

Unit cell a=6.8890 b=7.0122 c=10.0080 alpha=90.00 beta=91.86 gamma=90.00
Last column: nearest neighbours and their distance in Å.
Element x y z (fractional)
Ce1 0.9792 0.0000 0.2347  1 Mo 2.65
Ce2 0.7085 0.7382 0.4877  1 Mo 2.72, 2 Ce 2.89-3.04
Ce3 0.7916 0.7623 0.0127  1 Mo 2.72, 2 Ce 2.89-3.03
Ce4 0.7084 0.2623 0.4873  1 Mo 2.72, 2 Ce 2.89-3.03
Ce5 0.7915 0.2382 0.0123  1 Mo 2.72, 2 Ce 2.89-3.04
Ce6 0.5208 0.5000 0.2653  1 Mo 2.65
Ce7 0.0208 0.0000 0.7653  1 Mo 2.65
Ce8 0.2915 0.2618 0.5123  1 Mo 2.72, 2 Ce 2.89-3.04
Ce9 0.2084 0.2377 0.9873  1 Mo 2.72, 2 Ce 2.89-3.03
Ce10 0.2916 0.7377 0.5127  1 Mo 2.72, 2 Ce 2.89-3.03
Ce11 0.2085 0.7618 0.9877  1 Mo 2.72, 2 Ce 2.89-3.04
Ce12 0.4792 0.5000 0.7347  1 Mo 2.65
Tl1 0.9769 0.4999 0.7364  12 Ce 3.43-3.59
Tl2 0.5231 0.9999 0.7636  12 Ce 3.43-3.59
Tl3 0.4769 0.0001 0.2364  12 Ce 3.43-3.59
Tl4 0.0231 0.5001 0.2636  12 Ce 3.43-3.59
Mo1 0.5000 0.5000 0.0000  6 Ce 2.65-2.72
Mo2 0.0000 0.0000 0.5000  6 Ce 2.65-2.72

Record 3
A relaxed CeTmMo4 crystal, computed with GGA-PBE.

Formation energy from the elements: 0.72 eV per formula unit
N(E_F): 6.1 states/eV/f.u.
Space group: F-43m, No. 216

Unit cell a=5.5120 b=5.5120 c=5.5120 alpha=60.00 beta=60.00 gamma=60.00
Last column: nearest neighbours and their distance in Å.
Element x y z (fractional)
Mo1 0.6248 0.6248 0.1255  6 Mo 2.75-2.76
Mo2 0.6248 0.1255 0.6248  6 Mo 2.75-2.76
Mo3 0.6248 0.6248 0.6248  6 Mo 2.75-2.76
Mo4 0.1255 0.6248 0.6248  6 Mo 2.75-2.76
Tm1 0.0000 0.0000 0.0000  12 Mo 3.23, 4 Ce 3.38
Ce1 0.2500 0.2500 0.2500  12 Mo 3.23, 4 Tm 3.38

Record 4
A relaxed CeTmMo crystal, computed with GGA-PBE.

Formation energy from the elements: 0.47 eV per formula unit
N(E_F): 4.4 states/eV/f.u.
Space group: C2/m, No. 12

Unit cell a=4.6408 b=5.5164 c=6.5276 alpha=97.27 beta=110.82 gamma=90.00
Last column: nearest neighbours and their distance in Å.
Element x y z (fractional)
Mo1 0.7361 0.1251 0.4722  1 Ce 2.38
Mo2 0.2639 0.8749 0.5278  1 Ce 2.38
Ce1 0.5912 0.7891 0.1824  1 Mo 2.38
Ce2 0.4088 0.2109 0.8176  1 Mo 2.38
Tm1 0.8691 0.6505 0.7381  4 Mo 3.00-3.26
Tm2 0.1309 0.3495 0.2619  4 Mo 3.00-3.26